(1)
! Ac12Ga6Pb PBE optimized geometry; values from VASP
! E: -77.824 eV per cell
! Space group: Im-3, No. 204
! Crystal system: cubic
! E_form: -6.65 eV/f.u.
&SYSTEM
  ibrav = 0, nat = 19, ntyp = 3
/
ATOMIC_SPECIES
Ac 227.00 Ac.upf
Ga 69.72 Ga.upf
Pb 207.20 Pb.upf
CELL_PARAMETERS angstrom
9.655 0.000 0.000
-3.218 9.103 0.000
-3.218 -4.551 7.883
ATOMIC_POSITIONS crystal
Ac 0.299 0.112 0.812
Ac 0.299 0.487 0.188
Ac 0.701 0.513 0.812
Ac 0.701 0.888 0.188
Ac 0.112 0.812 0.299
Ac 0.487 0.188 0.299
Ac 0.513 0.812 0.701
Ac 0.888 0.188 0.701
Ac 0.812 0.299 0.112
Ac 0.188 0.299 0.487
Ac 0.812 0.701 0.513
Ac 0.188 0.701 0.888
Ga 0.384 0.500 0.884
Ga 0.616 0.500 0.116
Ga 0.500 0.884 0.384
Ga 0.500 0.116 0.616
Ga 0.884 0.384 0.500
Ga 0.116 0.616 0.500
Pb 0.000 0.000 0.000

(2)
! CaHg6Bi PBE optimized geometry; values from VASP
! E: -9.069 eV per cell
! Space group: P-1, No. 2
! Crystal system: triclinic
! E_form: -1.38 eV/f.u.
&SYSTEM
  ibrav = 0, nat = 8, ntyp = 3
/
ATOMIC_SPECIES
Ca 40.08 Ca.upf
Hg 200.59 Hg.upf
Bi 208.98 Bi.upf
CELL_PARAMETERS angstrom
5.373 0.265 1.691
2.640 6.156 2.368
1.191 2.242 7.652
ATOMIC_POSITIONS crystal
Ca 0.000 0.500 0.500
Hg 0.258 0.875 0.617
Hg 0.496 0.253 0.751
Hg 0.251 0.369 0.123
Hg 0.504 0.747 0.249
Hg 0.742 0.125 0.383
Hg 0.749 0.631 0.877
Bi 0.000 0.000 0.000

(3)
! La2Si3Ni12Os PBE optimized geometry; values from VASP
! Energy relative to the elements, uncorrected: 0.17 eV/atom
! E: -103.684 eV per cell
! Space group: R-3m, No. 166
! Crystal system: trigonal
&SYSTEM
  ibrav = 0, nat = 18, ntyp = 4
/
ATOMIC_SPECIES
La 138.91 La.upf
Si 28.09 Si.upf
Ni 58.69 Ni.upf
Os 190.23 Os.upf
CELL_PARAMETERS angstrom
7.417 -0.018 -0.013
3.647 6.458 -0.013
3.647 2.123 6.100
ATOMIC_POSITIONS crystal
La 0.613 0.613 0.613
La 0.387 0.387 0.387
Si 0.500 0.000 0.000
Si 0.000 0.500 0.000
Si 0.000 0.000 0.500
Ni 0.359 0.359 0.900
Ni 0.874 0.874 0.385
Ni 0.385 0.874 0.874
Ni 0.900 0.359 0.359
Ni 0.874 0.385 0.874
Ni 0.359 0.900 0.359
Ni 0.641 0.641 0.100
Ni 0.126 0.126 0.615
Ni 0.615 0.126 0.126
Ni 0.100 0.641 0.641
Ni 0.126 0.615 0.126
Ni 0.641 0.100 0.641
Os 0.000 0.000 0.000

(4)
! Cs2Tb2SbS6 PBE optimized geometry; values from VASP
! Energy relative to the elements, uncorrected: -1.38 eV/atom
! E: -55.024 eV per cell
! Space group: C2/m, No. 12
! Crystal system: monoclinic
&SYSTEM
  ibrav = 0, nat = 11, ntyp = 4
/
ATOMIC_SPECIES
Cs 132.91 Cs.upf
Tb 158.93 Tb.upf
Sb 121.76 Sb.upf
S 32.06 S.upf
CELL_PARAMETERS angstrom
-1.834 -4.375 -5.077
0.568 -2.325 6.524
-7.536 4.080 0.839
ATOMIC_POSITIONS crystal
Cs 0.831 0.169 0.000
Cs 0.169 0.831 0.000
Tb 0.333 0.667 0.500
Tb 0.667 0.333 0.500
Sb 0.000 0.000 0.500
S 0.739 0.739 0.676
S 0.061 0.383 0.677
S 0.261 0.261 0.324
S 0.383 0.061 0.677
S 0.939 0.617 0.323
S 0.617 0.939 0.323

(5)
! Tl2FeMo PBE optimized geometry; values from VASP
! E: -21.329 eV per cell
! Space group: Cm, No. 8
! Crystal system: monoclinic
! E_form: 2.70 eV/f.u.
&SYSTEM
  ibrav = 0, nat = 4, ntyp = 3
/
ATOMIC_SPECIES
Fe 55.84 Fe.upf
Mo 95.94 Mo.upf
Tl 204.38 Tl.upf
CELL_PARAMETERS angstrom
-2.816 -2.083 -4.550
-3.970 -3.568 -2.117
-4.337 2.363 -0.615
ATOMIC_POSITIONS crystal
Fe 0.539 0.539 0.514
Mo 0.217 0.217 0.229
Tl 0.980 0.980 0.060
Tl 0.763 0.763 0.698

(6)
! Y2TaHg PBE optimized geometry; values from VASP
! E: -44.753 eV per cell
! Space group: I-42d, No. 122
! Crystal system: tetragonal
! E_form: 2.71 eV/f.u.
&SYSTEM
  ibrav = 0, nat = 8, ntyp = 3
/
ATOMIC_SPECIES
Y 88.91 Y.upf
Hg 200.59 Hg.upf
Ta 180.95 Ta.upf
CELL_PARAMETERS angstrom
4.416 0.000 0.000
0.000 4.416 0.000
2.208 2.208 10.534
ATOMIC_POSITIONS crystal
Y 0.622 0.125 0.250
Y 0.128 0.625 0.250
Y 0.375 0.378 0.750
Y 0.875 0.872 0.750
Hg 0.000 0.000 0.000
Hg 0.750 0.250 0.500
Ta 0.500 0.500 0.000
Ta 0.250 0.750 0.500